[1]
VASP calculation (PBE) on an optimized crystal structure of ZrBi3Sb.

The density of states at the Fermi level is 5.7 states/eV/cell. For the uncorrected formation energy, the calculation gives 1.0155 eV/atom. As for the offset from the most stable computed form: 560.7 meV per atom.

It has space group Pm-3m (No. 221), with a = 5.711 Å, b = 5.711 Å, c = 5.711 Å, α = 90.00°, β = 90.00° and γ = 90.00°. The distinct sites, in fractional coordinates, are Zr at (0.000, 0.000, 0.000), Bi at (0.000, 0.500, 0.500) and Sb at (0.500, 0.500, 0.500).

=====

[2]
VASP calculation (PBE) on an optimized crystal structure of LaCo2Cu.

The value obtained for the energy of formation is 0.23 eV/atom. The density of states at the Fermi level is 23.9 states/eV/cell.

It has space group I-42d (No. 122), with a = 4.365 Å, b = 4.365 Å, c = 16.574 Å, α = 90.00°, β = 90.00° and γ = 90.00°. The distinct sites, in fractional coordinates, are La at (0.000, 0.000, 0.000), Co at (0.047, 0.250, 0.625) and Cu at (0.000, 0.000, 0.500).